Entry 1:
# InAsW3 | the Alexandria database | GGA-PBE | relaxed
# Crystal system: cubic
# Excess energy over the best structure of this formula in the dataset (kJ per mole of atoms): 152.7
data_InAsW3
_space_group_name_H-M_alt 'P 1'
_space_group_IT_number 1
_cell_length_a 4.8974
_cell_length_b 4.8974
_cell_length_c 4.8974
_cell_angle_alpha 90.00
_cell_angle_beta 90.00
_cell_angle_gamma 90.00
loop_
_space_group_symop_operation_xyz
'x,y,z'
loop_
_atom_site_label
_atom_site_fract_x
_atom_site_fract_y
_atom_site_fract_z
In1 0.0000 0.0000 0.0000
As1 0.5000 0.5000 0.5000
W1 0.0000 0.0000 0.5000
W2 0.0000 0.5000 0.0000
W3 0.5000 0.0000 0.0000

---

Entry 2:
# InAs2W | the Alexandria database | GGA-PBE | relaxed
# Crystal system: tetragonal
data_InAs2W
_space_group_name_H-M_alt 'P 1'
_space_group_IT_number 1
_cell_length_a 3.3073
_cell_length_b 3.3073
_cell_length_c 7.1070
_cell_angle_alpha 90.00
_cell_angle_beta 90.00
_cell_angle_gamma 90.00
loop_
_space_group_symop_operation_xyz
'x,y,z'
loop_
_atom_site_label
_atom_site_fract_x
_atom_site_fract_y
_atom_site_fract_z
In1 0.0000 0.0000 0.0000
As1 0.0000 0.0000 0.4347
As2 0.5000 0.5000 0.6689
W1 0.5000 0.5000 0.2799

---

Entry 3:
# In2AsW | the Alexandria database | GGA-PBE | relaxed
# Crystal system: tetragonal
data_In2AsW
_space_group_name_H-M_alt 'P 1'
_space_group_IT_number 1
_cell_length_a 7.8473
_cell_length_b 7.8473
_cell_length_c 7.8473
_cell_angle_alpha 95.40
_cell_angle_beta 95.40
_cell_angle_gamma 144.28
loop_
_space_group_symop_operation_xyz
'x,y,z'
loop_
_atom_site_label
_atom_site_fract_x
_atom_site_fract_y
_atom_site_fract_z
In1 0.0000 0.0000 0.0000
In2 0.0000 0.0000 0.5000
In3 0.0000 0.5000 0.0000
In4 0.5000 0.0000 0.5000
As1 0.3750 0.6250 0.7500
As2 0.6250 0.3750 0.2500
W1 0.1250 0.8750 0.2500
W2 0.8750 0.1250 0.7500

---

Entry 4:
# In2AsW | the Alexandria database | GGA-PBE | relaxed
# Crystal system: tetragonal
data_In2AsW
_space_group_name_H-M_alt 'P 1'
_space_group_IT_number 1
_cell_length_a 2.9346
_cell_length_b 2.9346
_cell_length_c 9.4083
_cell_angle_alpha 90.00
_cell_angle_beta 90.00
_cell_angle_gamma 90.00
loop_
_space_group_symop_operation_xyz
'x,y,z'
loop_
_atom_site_label
_atom_site_fract_x
_atom_site_fract_y
_atom_site_fract_z
In1 0.0000 0.0000 0.2320
In2 0.0000 0.0000 0.7680
As1 0.5000 0.5000 0.5000
W1 0.5000 0.5000 0.0000

---

Entry 5:
# InAs2W | the Alexandria database | GGA-PBE | relaxed
# Crystal system: trigonal
data_InAs2W
_space_group_name_H-M_alt 'P 1'
_space_group_IT_number 1
_cell_length_a 9.6278
_cell_length_b 9.6278
_cell_length_c 9.6278
_cell_angle_alpha 19.16
_cell_angle_beta 19.16
_cell_angle_gamma 19.16
loop_
_space_group_symop_operation_xyz
'x,y,z'
loop_
_atom_site_label
_atom_site_fract_x
_atom_site_fract_y
_atom_site_fract_z
In1 0.0000 0.0000 0.0000
As1 0.2308 0.2308 0.2308
As2 0.7692 0.7692 0.7692
W1 0.5000 0.5000 0.5000

---

Entry 6:
# In2AsW | the Alexandria database | GGA-PBE | relaxed
# Crystal system: cubic
data_In2AsW
_space_group_name_H-M_alt 'P 1'
_space_group_IT_number 1
_cell_length_a 4.8266
_cell_length_b 4.8266
_cell_length_c 4.8266
_cell_angle_alpha 60.00
_cell_angle_beta 60.00
_cell_angle_gamma 60.00
loop_
_space_group_symop_operation_xyz
'x,y,z'
loop_
_atom_site_label
_atom_site_fract_x
_atom_site_fract_y
_atom_site_fract_z
In1 0.0000 0.0000 0.0000
In2 0.2500 0.2500 0.2500
As1 0.5000 0.5000 0.5000
W1 0.7500 0.7500 0.7500

---

Entry 7:
# InAs2W | the Alexandria database | GGA-PBE | relaxed
# Crystal system: orthorhombic
data_InAs2W
_space_group_name_H-M_alt 'P 1'
_space_group_IT_number 1
_cell_length_a 3.4397
_cell_length_b 4.5611
_cell_length_c 5.0265
_cell_angle_alpha 90.00
_cell_angle_beta 90.00
_cell_angle_gamma 90.00
loop_
_space_group_symop_operation_xyz
'x,y,z'
loop_
_atom_site_label
_atom_site_fract_x
_atom_site_fract_y
_atom_site_fract_z
In1 0.0000 0.0000 0.0000
As1 0.5000 0.5000 0.2457
As2 0.5000 0.5000 0.7543
W1 0.5000 0.0000 0.5000

---

Entry 8:
# In2AsW | the Alexandria database | GGA-PBE | relaxed
# Crystal system: monoclinic
data_In2AsW
_space_group_name_H-M_alt 'P 1'
_space_group_IT_number 1
_cell_length_a 5.4178
_cell_length_b 5.4178
_cell_length_c 5.2404
_cell_angle_alpha 98.90
_cell_angle_beta 98.90
_cell_angle_gamma 31.72
loop_
_space_group_symop_operation_xyz
'x,y,z'
loop_
_atom_site_label
_atom_site_fract_x
_atom_site_fract_y
_atom_site_fract_z
In1 0.2388 0.2388 0.2430
In2 0.7612 0.7612 0.7570
As1 0.0000 0.0000 0.5000
W1 0.5000 0.5000 0.0000

---

Entry 9:
# In2AsW | the Alexandria database | GGA-PBE | relaxed
# Crystal system: orthorhombic
data_In2AsW
_space_group_name_H-M_alt 'P 1'
_space_group_IT_number 1
_cell_length_a 5.3063
_cell_length_b 5.3063
_cell_length_c 2.9235
_cell_angle_alpha 90.00
_cell_angle_beta 90.00
_cell_angle_gamma 106.33
loop_
_space_group_symop_operation_xyz
'x,y,z'
loop_
_atom_site_label
_atom_site_fract_x
_atom_site_fract_y
_atom_site_fract_z
In1 0.0000 0.5000 0.0000
In2 0.5000 0.0000 0.0000
As1 0.0000 0.0000 0.5000
W1 0.5000 0.5000 0.5000

---

Entry 10:
# In3AsW | the Alexandria database | GGA-PBE | relaxed
# Crystal system: cubic
# Excess energy over the best structure of this formula in the dataset (kJ per mole of atoms): 0.0
data_In3AsW
_space_group_name_H-M_alt 'P 1'
_space_group_IT_number 1
_cell_length_a 5.3340
_cell_length_b 5.3340
_cell_length_c 5.3340
_cell_angle_alpha 90.00
_cell_angle_beta 90.00
_cell_angle_gamma 90.00
loop_
_space_group_symop_operation_xyz
'x,y,z'
loop_
_atom_site_label
_atom_site_fract_x
_atom_site_fract_y
_atom_site_fract_z
In1 0.0000 0.0000 0.5000
In2 0.0000 0.5000 0.0000
In3 0.5000 0.0000 0.0000
As1 0.5000 0.5000 0.5000
W1 0.0000 0.0000 0.0000

---

Entry 11:
# InAs2W | the Alexandria database | GGA-PBE | relaxed
# Crystal system: trigonal
data_InAs2W
_space_group_name_H-M_alt 'P 1'
_space_group_IT_number 1
_cell_length_a 9.3829
_cell_length_b 9.3829
_cell_length_c 9.3829
_cell_angle_alpha 19.23
_cell_angle_beta 19.23
_cell_angle_gamma 19.23
loop_
_space_group_symop_operation_xyz
'x,y,z'
loop_
_atom_site_label
_atom_site_fract_x
_atom_site_fract_y
_atom_site_fract_z
In1 0.0000 0.0000 0.0000
As1 0.5180 0.5180 0.5180
As2 0.7615 0.7615 0.7615
W1 0.2484 0.2484 0.2484

---

Entry 12:
# InAs2W | the Alexandria database | GGA-PBE | relaxed
# Crystal system: orthorhombic
data_InAs2W
_space_group_name_H-M_alt 'P 1'
_space_group_IT_number 1
_cell_length_a 3.0335
_cell_length_b 3.0335
_cell_length_c 9.8487
_cell_angle_alpha 90.00
_cell_angle_beta 90.00
_cell_angle_gamma 111.94
loop_
_space_group_symop_operation_xyz
'x,y,z'
loop_
_atom_site_label
_atom_site_fract_x
_atom_site_fract_y
_atom_site_fract_z
In1 0.0000 0.0000 0.0000
As1 0.5000 0.5000 0.3043
As2 0.5000 0.5000 0.6957
W1 0.0000 0.0000 0.5000

---

Calculated final energy, -31.139, -23.523, -42.242, -20.711, -24.712, -19.738, -23.248, -20.283, -20.856, -20.606, -23.528, -23.856 eV for the cell shown (same order as the records).
Calculated ΔH_f (0 K), 15.11, 1.47, 1.96, 2.37, 0.28, 3.34, 1.74, 2.80, 2.22, 5.21, 1.46, 1.13 eV/f.u. (same order as the records).